No. 1
Computed, not measured: a crystal of AlCo2 relaxed with PBEsol at the meta-GGA SCAN level of DFT.

Unit cell a=2.7859 b=3.9665 c=6.1877 alpha=90.00 beta=103.01 gamma=90.00
Site moments in Bohr magnetons follow the coordinates.
Sites, in units of the cell vectors:
Co (0.9129, 0.2500, 0.8258)  0.94
Co (0.2487, 0.2500, 0.4974)  1.78
Co (0.0871, 0.7500, 0.1742)  0.94
Co (0.7513, 0.7500, 0.5026)  1.78
Al (0.4179, 0.7500, 0.8358)  -0.03
Al (0.5821, 0.2500, 0.1642)  -0.03

Computed properties:
- ΔE_f: -0.3517 eV/atom

=====

No. 2
Computed, not measured: a crystal of ScCuPt2 relaxed with PBEsol at the meta-GGA SCAN level of DFT.

Unit cell a=2.9406 b=3.6097 c=5.6417 alpha=90.00 beta=90.00 gamma=90.00
Sites, in units of the cell vectors:
Sc (0.5000, 0.5000, 0.0000)
Pt (0.0000, 0.0000, 0.2625)
Pt (0.0000, 0.0000, 0.7375)
Cu (0.5000, 0.5000, 0.5000)

Computed properties:
- ΔE_f: -0.9474 eV/atom

=====

No. 3
Computed, not measured: a crystal of TcGeSe2 relaxed with PBEsol at the meta-GGA SCAN level of DFT.

Unit cell a=3.1181 b=3.1181 c=9.2536 alpha=80.30 beta=80.30 gamma=60.00
Sites, in units of the cell vectors:
Ge (0.0000, 0.0000, 0.0000)
Se (0.8977, 0.8977, 0.3068)
Se (0.1023, 0.1023, 0.6932)
Tc (0.5000, 0.5000, 0.5000)

Computed properties:
- ΔE_f (raw): 0.2 eV/f.u.

=====

No. 4
Computed, not measured: a crystal of BaCrAs relaxed with PBEsol at the meta-GGA SCAN level of DFT.

Unit cell a=5.0216 b=5.0216 c=5.0216 alpha=60.00 beta=60.00 gamma=60.00
Site moments in Bohr magnetons follow the coordinates.
Sites, in units of the cell vectors:
As (0.2500, 0.2500, 0.2500)  -0.15
Ba (0.0000, 0.0000, 0.0000)  0.08
Cr (0.5000, 0.5000, 0.5000)  4.26

Computed properties:
- ΔE_f: -0.3831 eV/atom

=====

No. 5
Computed, not measured: a crystal of Li2ScTiCd relaxed with PBEsol at the meta-GGA SCAN level of DFT.

Unit cell a=4.5902 b=4.8563 c=4.8563 alpha=90.00 beta=90.00 gamma=90.00
Sites, in units of the cell vectors:
Ti (0.5000, 0.0000, 0.0000)
Sc (0.0000, 0.0000, 0.0000)
Li (0.0000, 0.5000, 0.0000)
Li (0.0000, 0.0000, 0.5000)
Cd (0.5000, 0.5000, 0.5000)

Computed properties:
- ΔE_f: 0.9928 eV/atom

=====

No. 6
Computed, not measured: a crystal of Ni2SbOs relaxed with PBEsol at the meta-GGA SCAN level of DFT.

Unit cell a=4.2608 b=4.2608 c=4.2608 alpha=60.00 beta=60.00 gamma=60.00
Sites, in units of the cell vectors:
Ni (0.7500, 0.7500, 0.7500)
Ni (0.0000, 0.0000, 0.0000)
Sb (0.2500, 0.2500, 0.2500)
Os (0.5000, 0.5000, 0.5000)

Computed properties:
- ΔE_f (raw): 1.1 eV/f.u.

=====

No. 7
Computed, not measured: a crystal of SnWIO2 relaxed with PBEsol at the meta-GGA SCAN level of DFT.

Unit cell a=4.0139 b=4.0139 c=5.8700 alpha=90.00 beta=90.00 gamma=90.00
Site moments in Bohr magnetons follow the coordinates.
Sites, in units of the cell vectors:
O (0.0000, 0.5000, 0.0000)  0.04
O (0.5000, 0.0000, 0.0000)  0.04
W (0.0000, 0.0000, 0.0000)  0.10
Sn (0.5000, 0.5000, 0.5000)  0.34
I (0.0000, 0.0000, 0.5000)  -0.02

Computed properties:
- ΔE_f (raw): -1.7 eV/f.u.

=====

No. 8
Computed, not measured: a crystal of CsTeAs3 relaxed with PBEsol at the meta-GGA SCAN level of DFT.

Unit cell a=5.5416 b=5.5416 c=5.5416 alpha=90.00 beta=90.00 gamma=90.00
Sites, in units of the cell vectors:
Te (0.5000, 0.5000, 0.5000)
As (0.0000, 0.5000, 0.0000)
As (0.0000, 0.0000, 0.5000)
As (0.5000, 0.0000, 0.0000)
Cs (0.0000, 0.0000, 0.0000)

Computed properties:
- ΔE_f (raw): 9.7 eV/f.u.

=====

| no. | theoretical density (g/cm³) | total DFT energy (no corrections) (eV per atom) |
| --- | --- | --- |
| 1 | 7.221 | -14.4718 |
| 2 | 13.827 | -43.4031 |
| 3 | 7.139 | -23.5154 |
| 4 | 4.901 | -26.4249 |
| 5 | 3.361 | -12.0994 |
| 6 | 13.036 | -35.1090 |
| 7 | 8.102 | -31.3002 |
| 8 | 4.735 | -25.1870 |